(1)
First-principles (PBE-GGA) data for a relaxed structure of SbHPt4, as listed in the Alexandria database.

Unit cell a=6.012 b=6.076 c=5.030 alpha=90.00 beta=96.06 gamma=90.00
Space group P2_1/c (No. 14)
Unique sites:
Sb: 0.000 0.000 0.000 [2 per cell]
H: 0.500 0.000 0.500 [2 per cell]
Pt: 0.206 0.101 0.513 [4 per cell]
Pt: 0.402 0.681 0.594 [4 per cell]

Output
* Fermi-level density of states: 0.471 states/eV/atom


(2)
First-principles (PBE-GGA) data for a relaxed structure of YAl4Ru, as listed in the Alexandria database.

Unit cell a=7.469 b=7.469 c=7.469 alpha=90.00 beta=90.00 gamma=90.00
Space group F-43m (No. 216)
Unique sites:
Y: 0.000 0.000 0.000 [4 per cell]
Al: 0.125 0.125 0.625 [16 per cell]
Ru: 0.250 0.250 0.250 [4 per cell]

Output
* Fermi-level density of states: 0.860 states/eV/atom
* energy of formation from the pure elements: -0.1642 eV/atom


(3)
First-principles (PBE-GGA) data for a relaxed structure of TaAs2Cl, as listed in the Alexandria database.

Unit cell a=2.895 b=4.852 c=11.429 alpha=90.00 beta=90.00 gamma=90.00
Space group Immm (No. 71)
Unique sites:
Ta: 0.000 0.000 0.000 [2 per cell]
As: 0.000 0.500 0.298 [4 per cell]
Cl: 0.000 0.000 0.500 [2 per cell]

Output
* Fermi-level density of states: 0.677 states/eV/atom
* polymorph energy (0 for the lowest one): 0.507 eV per atom


(4)
First-principles (PBE-GGA) data for a relaxed structure of CsLi2Pd2, as listed in the Alexandria database.

Unit cell a=8.101 b=8.101 c=3.223 alpha=90.00 beta=90.00 gamma=90.00
Space group P4/mbm (No. 127)
Unique sites:
Cs: 0.000 0.000 0.000 [2 per cell]
Li: 0.142 0.358 0.500 [4 per cell]
Pd: 0.123 0.623 0.000 [4 per cell]

Output
* Fermi-level density of states: 0.314 states/eV/atom
* polymorph energy (0 for the lowest one): 0.000 eV per atom
* energy of formation from the pure elements: -0.0277 eV/atom


| no. | M_tot (μB per atom) | uncorrected energy (eV per atom) |
| --- | --- | --- |
| 1 | 0.00 | -5.3099 |
| 2 | 0.13 | -5.2826 |
| 3 | 0.00 | -5.6040 |
| 4 | 0.00 | -3.0411 |